Here is a relaxed LaTb2NdHo2 crystal from Alexandria via LeMat-Bulk. Energies are from PBE.

## Properties
SG: Pnnm, No. 58
DFT formation energy in kJ/mol of formula units: 158

a = 3.409 Å, b = 6.598 Å, c = 18.064 Å
α = 90.00°, β = 90.00°, γ = 90.00°
Sites, in units of the cell vectors:
La 0.000 0.000 0.000
La 0.500 0.500 0.500
Tb 0.000 0.781 0.187
Tb 0.500 0.281 0.313
Tb 0.000 0.219 0.813
Tb 0.500 0.719 0.687
Ho 0.000 0.282 0.149
Ho 0.500 0.782 0.351
Ho 0.500 0.218 0.649
Ho 0.000 0.718 0.851
Nd 0.000 0.000 0.500
Nd 0.500 0.500 0.000

---

Here is a relaxed LaTb4Nd2Ho crystal from Alexandria via LeMat-Bulk. Energies are from PBE.

## Properties
SG: P2/m, No. 10
DFT formation energy in kJ/mol of formula units: 14

a = 3.624 Å, b = 6.239 Å, c = 11.950 Å
α = 79.68°, β = 90.00°, γ = 90.00°
Sites, in units of the cell vectors:
Tb 0.500 0.749 0.253
Tb 0.000 0.751 0.747
Tb 0.500 0.251 0.747
Tb 0.000 0.249 0.253
Nd 0.000 0.000 0.000
Nd 0.500 0.000 0.500
La 0.500 0.500 0.000
Ho 0.000 0.500 0.500

---

Here is a relaxed La2Tb2NdHo crystal from Alexandria via LeMat-Bulk. Energies are from PBE.

## Properties
SG: Pmma, No. 51
DFT formation energy in kJ/mol of formula units: 38

a = 5.753 Å, b = 7.098 Å, c = 10.000 Å
α = 90.00°, β = 90.00°, γ = 90.00°
Sites, in units of the cell vectors:
Nd 0.000 0.008 0.500
Nd 0.000 0.508 0.500
La 0.500 0.008 0.000
La 0.000 0.758 0.830
La 0.000 0.258 0.170
La 0.500 0.508 0.000
Tb 0.500 0.258 0.334
Tb 0.000 0.257 0.833
Tb 0.500 0.758 0.666
Tb 0.000 0.757 0.167
Ho 0.500 0.758 0.337
Ho 0.500 0.258 0.663

---

Here is a relaxed La2Tb6Nd3Ho crystal from Alexandria via LeMat-Bulk. Energies are from PBE.

## Properties
SG: C2/m, No. 12
DFT formation energy in kJ/mol of formula units: 17

a = 6.281 Å, b = 6.281 Å, c = 11.941 Å
α = 95.02°, β = 95.02°, γ = 120.01°
Sites, in units of the cell vectors:
Nd 0.500 0.500 0.500
Nd 0.833 0.167 0.500
Nd 0.167 0.833 0.500
Ho 0.000 0.000 0.000
Tb 0.248 0.248 0.749
Tb 0.916 0.584 0.750
Tb 0.584 0.916 0.750
Tb 0.084 0.416 0.250
Tb 0.416 0.084 0.250
Tb 0.752 0.752 0.251
La 0.666 0.334 0.000
La 0.334 0.666 0.000

---

Here is a relaxed LaTb2Nd3Ho6 crystal from Alexandria via LeMat-Bulk. Energies are from PBE.

## Properties
SG: C2/m, No. 12
DFT formation energy in kJ/mol of formula units: 20

a = 6.227 Å, b = 6.227 Å, c = 11.830 Å
α = 95.02°, β = 95.02°, γ = 119.99°
Sites, in units of the cell vectors:
Ho 0.582 0.916 0.751
Ho 0.084 0.418 0.249
Ho 0.251 0.251 0.751
Ho 0.418 0.084 0.249
Ho 0.916 0.582 0.751
Ho 0.749 0.749 0.249
Nd 0.167 0.833 0.500
Nd 0.500 0.500 0.500
Nd 0.833 0.167 0.500
Tb 0.667 0.333 0.000
Tb 0.333 0.667 0.000
La 0.000 0.000 0.000

---

Here is a relaxed LaTb2Nd2Ho2 crystal from Alexandria via LeMat-Bulk. Energies are from PBE.

## Properties
SG: C2/m, No. 12
DFT formation energy in kJ/mol of formula units: 113

a = 3.501 Å, b = 12.278 Å, c = 11.949 Å
α = 150.78°, β = 90.00°, γ = 98.20°
Sites, in units of the cell vectors:
Nd 0.297 0.594 0.959
Nd 0.703 0.406 0.041
Tb 0.592 0.183 0.402
Tb 0.408 0.817 0.598
Ho 0.342 0.684 0.756
Ho 0.658 0.316 0.244
La 0.000 0.000 0.500

---

Here is a relaxed La3Nd2HoTe6 crystal from Alexandria via LeMat-Bulk. Energies are from PBE.

## Properties
Raw formation energy in eV per formula unit: -17.803
SG: C2/m, No. 12

a = 4.500 Å, b = 9.059 Å, c = 10.075 Å
α = 102.65°, β = 102.90°, γ = 90.00°
Sites, in units of the cell vectors:
Nd 0.168 0.335 0.337
Nd 0.832 0.665 0.663
Ho 0.500 0.000 0.000
La 0.500 0.500 0.000
La 0.829 0.166 0.659
La 0.171 0.834 0.341
Te 0.340 0.917 0.679
Te 0.333 0.420 0.666
Te 0.000 0.763 0.000
Te 0.000 0.237 0.000
Te 0.667 0.580 0.334
Te 0.660 0.083 0.321

---

Here is a relaxed La2NdHoTe5 crystal from Alexandria via LeMat-Bulk. Energies are from PBE.

## Properties
Raw formation energy in eV per formula unit: -8.927
SG: P4/mmm, No. 123

a = 5.495 Å, b = 5.495 Å, c = 11.780 Å
α = 90.00°, β = 90.00°, γ = 90.00°
Each line ends with the local moment (μB).
Sites, in units of the cell vectors:
Te 0.000 0.500 0.500  -0.01
Te 0.500 0.500 0.000  0.01
Te 0.000 0.000 0.750  0.00
Te 0.000 0.000 0.250  0.00
Te 0.500 0.000 0.500  -0.01
La 0.500 0.500 0.670  0.31
La 0.500 0.500 0.330  0.31
Ho 0.000 0.000 0.500  0.04
Nd 0.000 0.000 0.000  0.02

---

Here is a relaxed LaNdHoTe3 crystal from Alexandria via LeMat-Bulk. Energies are from PBE.

## Properties
Raw formation energy in eV per formula unit: -7.798
SG: P2_1/m, No. 11

a = 4.412 Å, b = 8.657 Å, c = 10.865 Å
α = 105.03°, β = 90.00°, γ = 90.00°
Sites, in units of the cell vectors:
Te 0.750 0.486 0.214
Te 0.250 0.781 0.546
Te 0.250 0.514 0.786
Te 0.250 0.078 0.887
Te 0.750 0.922 0.113
Te 0.750 0.219 0.454
Nd 0.250 0.665 0.090
Nd 0.750 0.335 0.910
La 0.250 0.193 0.220
La 0.750 0.807 0.780
Ho 0.250 0.154 0.621
Ho 0.750 0.846 0.379

---

Here is a relaxed LaNd4Ho3Te8 crystal from Alexandria via LeMat-Bulk. Energies are from PBE.

## Properties
Raw formation energy in eV per formula unit: -21.970
SG: R-3m, No. 166

a = 8.852 Å, b = 8.956 Å, c = 8.854 Å
α = 119.64°, β = 119.99°, γ = 90.00°
Sites, in units of the cell vectors:
Nd 0.000 0.000 0.000
Nd 0.500 0.000 0.500
Nd 0.000 0.000 0.500
Nd 0.500 0.000 0.000
Te 0.261 0.258 0.010
Te 0.252 0.742 0.503
Te 0.748 0.258 0.010
Te 0.252 0.742 0.990
Te 0.255 0.264 0.510
Te 0.739 0.742 0.990
Te 0.745 0.736 0.490
Te 0.748 0.258 0.497
Ho 0.500 0.500 0.500
Ho 0.000 0.500 0.500
Ho 0.500 0.500 0.000
La 0.000 0.500 0.000

---

Here is a relaxed La3Nd4HoTe8 crystal from Alexandria via LeMat-Bulk. Energies are from PBE.

## Properties
Raw formation energy in eV per formula unit: -23.364
SG: R-3m, No. 166

a = 9.046 Å, b = 9.003 Å, c = 9.036 Å
α = 120.05°, β = 120.04°, γ = 90.00°
Sites, in units of the cell vectors:
Te 0.245 0.748 0.003
Te 0.755 0.252 0.510
Te 0.245 0.748 0.490
Te 0.752 0.755 0.503
Te 0.242 0.252 0.997
Te 0.758 0.748 0.003
Te 0.248 0.245 0.497
Te 0.755 0.252 0.997
Nd 0.000 0.000 0.500
Nd 0.000 0.000 0.000
Nd 0.500 0.000 0.000
Nd 0.500 0.000 0.500
La 0.000 0.500 0.500
La 0.500 0.500 0.500
La 0.500 0.500 0.000
Ho 0.000 0.500 0.000

---

Here is a relaxed La4NdHo3Te8 crystal from Alexandria via LeMat-Bulk. Energies are from PBE.

## Properties
Raw formation energy in eV per formula unit: -23.094
SG: R-3m, No. 166

a = 8.937 Å, b = 8.984 Å, c = 8.932 Å
α = 119.77°, β = 120.02°, γ = 90.00°
Sites, in units of the cell vectors:
La 0.000 0.000 0.000
La 0.000 0.000 0.500
La 0.500 0.000 0.500
La 0.500 0.000 0.000
Te 0.744 0.731 0.487
Te 0.752 0.264 0.503
Te 0.248 0.736 0.987
Te 0.248 0.736 0.497
Te 0.261 0.264 0.013
Te 0.256 0.269 0.513
Te 0.739 0.736 0.987
Te 0.752 0.264 0.013
Ho 0.500 0.500 0.500
Ho 0.500 0.500 0.000
Ho 0.000 0.500 0.500
Nd 0.000 0.500 0.000

---

Calculated total magnetization, 0.0, 0.0, 0.0, 0.0, 0.0, 0.0, 0.0, 1.2, 0.0, 0.0, 0.0, 0.0 μB per formula unit (same order as the records).
Calculated Fermi-level density of states, 20.42, 11.69, 18.45, 15.15, 14.40, 13.02, 7.51, 4.86, 9.23, 11.90, 12.66, 12.18 states/eV per cell (same order as the records).